Here is a relaxed structure of Tb2PmTl3S6 from Alexandria. Energies are from PBE-GGA.

Cell and atoms, written as POSCAR:
```
Tb2PmTl3S6
1.0
7.074 -0.001 0.000
-3.536 6.127 0.000
-1.180 -2.043 7.513
Tb S Pm Tl
2 6 1 3
direct
0.667 0.333 0.000
0.333 0.667 0.000
0.727 0.727 0.199
0.933 0.594 0.800
0.406 0.067 0.200
0.594 0.933 0.800
0.067 0.406 0.200
0.273 0.273 0.801
0.000 0.000 0.000
0.500 0.500 0.500
0.166 0.834 0.500
0.834 0.166 0.500
```

Summary:
As for the magnetic moment: 0.000 Bohr magnetons per cell. The uncorrected formation energy comes out at -1480.1 meV per atom. The value obtained for the raw total energy is -5.303 eV/atom.

---

Here is a relaxed structure of La4PrAs5 from Alexandria. Energies are from PBE-GGA.

Cell and atoms, written as POSCAR:
```
La4PrAs5
1.0
-0.024 6.095 0.950
1.444 2.014 7.138
6.730 3.297 -0.960
As La Pr
5 4 1
direct
0.702 0.199 0.398
0.101 0.602 0.199
0.300 0.801 0.602
0.901 0.398 0.801
0.501 0.000 0.000
0.601 0.601 0.200
0.401 0.399 0.800
0.801 0.800 0.601
0.201 0.200 0.399
0.001 0.000 0.000
```

Summary:
As for the magnetic moment: 0.000 Bohr magnetons per cell. Its formation energy is -1.561 eV per atom. The value obtained for the raw total energy is -6.335 eV/atom.

---

Here is a relaxed structure of TcRu2Br from Alexandria. Energies are from PBE-GGA.

Cell and atoms, written as POSCAR:
```
TcRu2Br
1.0
-0.854 2.591 0.715
-1.790 -2.168 0.209
2.819 -1.485 8.741
Br Ru Tc
1 2 1
direct
0.500 0.500 0.752
0.000 0.000 0.014
0.500 0.500 0.252
0.000 0.000 0.483
```

Summary:
As for the magnetic moment: 0.391 Bohr magnetons per cell. The uncorrected formation energy comes out at 897.4 meV per atom. Its relative energy among the computed polymorphs is 357.0 meV/atom. The value obtained for the raw total energy is -6.750 eV/atom.